one.
Computed, not measured: an optimized crystal structure of Hg2Ge2Pd at the GGA-PBE level of DFT. Values from VASP.

Geometry as Quantum ESPRESSO input:
```
&SYSTEM
  ibrav = 0, nat = 10, ntyp = 3
/
ATOMIC_SPECIES
Hg 200.59 Hg.upf
Ge 72.64 Ge.upf
Pd 106.42 Pd.upf
ATOMIC_POSITIONS crystal
Hg 0.803 0.303 0.500
Ge 0.359 0.859 0.000
Hg 0.197 0.697 0.500
Hg 0.303 0.197 0.500
Pd 0.000 0.000 0.000
Pd 0.500 0.500 0.000
Ge 0.641 0.141 0.000
Ge 0.859 0.641 0.000
Hg 0.697 0.803 0.500
Ge 0.141 0.359 0.000
CELL_PARAMETERS angstrom
-4.181 -2.516 -4.384
4.290 -4.776 -1.351
-1.990 -2.774 3.490
```

=====

two.
Computed, not measured: an optimized crystal structure of Hg2Ge2Pd at the GGA-PBE level of DFT. Values from VASP.

Geometry as Quantum ESPRESSO input:
```
&SYSTEM
  ibrav = 0, nat = 10, ntyp = 3
/
ATOMIC_SPECIES
Hg 200.59 Hg.upf
Ge 72.64 Ge.upf
Pd 106.42 Pd.upf
ATOMIC_POSITIONS crystal
Hg 0.150 0.350 0.000
Ge 0.344 0.156 0.500
Ge 0.844 0.344 0.500
Pd 0.500 0.500 0.000
Hg 0.350 0.850 0.000
Hg 0.650 0.150 0.000
Ge 0.156 0.656 0.500
Hg 0.850 0.650 0.000
Pd 0.000 0.000 0.000
Ge 0.656 0.844 0.500
CELL_PARAMETERS angstrom
-2.798 6.385 2.309
-2.629 -3.321 5.999
3.357 0.783 1.905
```

=====

The computed energies, referenced to the most stable structure and given in meV per atom, are one 0; two 241.

=====

one.
Computed, not measured: an optimized crystal structure of RbHg2GePd at the GGA-PBE level of DFT. Values from VASP.

Geometry as Quantum ESPRESSO input:
```
&SYSTEM
  ibrav = 0, nat = 5, ntyp = 4
/
ATOMIC_SPECIES
Hg 200.59 Hg.upf
Pd 106.42 Pd.upf
Rb 85.47 Rb.upf
Ge 72.64 Ge.upf
ATOMIC_POSITIONS crystal
Hg 0.500 0.000 0.000
Pd 0.000 0.000 0.000
Hg 0.000 0.500 0.000
Rb 0.500 0.500 0.500
Ge 0.000 0.000 0.500
CELL_PARAMETERS angstrom
-2.949 0.182 -4.587
-2.795 -4.396 1.622
-3.252 2.881 2.205
```

=====

two.
Computed, not measured: an optimized crystal structure of RbHg2GePd at the GGA-PBE level of DFT. Values from VASP.

Geometry as Quantum ESPRESSO input:
```
&SYSTEM
  ibrav = 0, nat = 5, ntyp = 4
/
ATOMIC_SPECIES
Hg 200.59 Hg.upf
Rb 85.47 Rb.upf
Pd 106.42 Pd.upf
Ge 72.64 Ge.upf
ATOMIC_POSITIONS crystal
Hg 0.500 0.000 0.000
Hg 0.000 0.500 0.000
Rb 0.500 0.500 0.500
Pd 0.000 0.000 0.500
Ge 0.000 0.000 0.000
CELL_PARAMETERS angstrom
5.474 0.000 0.000
0.000 5.474 0.000
0.000 0.000 4.918
```

=====

The computed energies, referenced to the most stable structure and given in meV per atom, are one 0; two 50.

=====

one.
Computed, not measured: an optimized crystal structure of HgGeTe2Pd at the GGA-PBE level of DFT. Values from VASP.

Geometry as Quantum ESPRESSO input:
```
&SYSTEM
  ibrav = 0, nat = 5, ntyp = 4
/
ATOMIC_SPECIES
Pd 106.42 Pd.upf
Te 127.60 Te.upf
Ge 72.64 Ge.upf
Hg 200.59 Hg.upf
ATOMIC_POSITIONS crystal
Pd 0.500 0.500 0.500
Te 0.500 0.000 0.000
Te 0.000 0.000 0.500
Ge 0.000 0.000 0.000
Hg 0.000 0.500 0.000
CELL_PARAMETERS angstrom
5.447 0.000 0.000
0.000 5.066 0.000
0.000 0.000 5.447
```

=====

two.
Computed, not measured: an optimized crystal structure of HgGeTe2Pd at the GGA-PBE level of DFT. Values from VASP.

Geometry as Quantum ESPRESSO input:
```
&SYSTEM
  ibrav = 0, nat = 5, ntyp = 4
/
ATOMIC_SPECIES
Ge 72.64 Ge.upf
Pd 106.42 Pd.upf
Hg 200.59 Hg.upf
Te 127.60 Te.upf
ATOMIC_POSITIONS crystal
Ge 0.000 0.500 0.000
Pd 0.000 0.000 0.000
Hg 0.500 0.500 0.500
Te 0.500 0.000 0.000
Te 0.000 0.000 0.500
CELL_PARAMETERS angstrom
-2.495 4.549 -1.855
-1.684 -2.418 -3.663
-4.498 -1.280 2.913
```

=====

The computed energies, referenced to the most stable structure and given in meV per atom, are one 387; two 0.

=====

one.
Computed, not measured: an optimized crystal structure of Pm2HgGe at the GGA-PBE level of DFT. Values from VASP.

Geometry as Quantum ESPRESSO input:
```
&SYSTEM
  ibrav = 0, nat = 4, ntyp = 3
/
ATOMIC_SPECIES
Hg 200.59 Hg.upf
Pm 145.00 Pm.upf
Ge 72.64 Ge.upf
ATOMIC_POSITIONS crystal
Hg 0.500 0.000 0.000
Pm 0.000 0.000 0.500
Ge 0.500 0.500 0.500
Pm 0.000 0.500 0.000
CELL_PARAMETERS angstrom
3.838 0.000 0.000
0.000 5.207 0.000
0.000 0.000 5.207
```

=====

two.
Computed, not measured: an optimized crystal structure of Pm2HgGe at the GGA-PBE level of DFT. Values from VASP.

Geometry as Quantum ESPRESSO input:
```
&SYSTEM
  ibrav = 0, nat = 8, ntyp = 3
/
ATOMIC_SPECIES
Ge 72.64 Ge.upf
Hg 200.59 Hg.upf
Pm 145.00 Pm.upf
ATOMIC_POSITIONS crystal
Ge 0.750 0.676 0.292
Hg 0.750 0.672 0.793
Pm 0.750 0.226 0.923
Ge 0.250 0.324 0.708
Pm 0.750 0.220 0.439
Pm 0.250 0.774 0.077
Pm 0.250 0.780 0.561
Hg 0.250 0.328 0.207
CELL_PARAMETERS angstrom
4.347 0.000 0.000
0.000 6.154 -0.104
0.000 -3.207 8.209
```

=====

three.
Computed, not measured: an optimized crystal structure of Pm2HgGe at the GGA-PBE level of DFT. Values from VASP.

Geometry as Quantum ESPRESSO input:
```
&SYSTEM
  ibrav = 0, nat = 4, ntyp = 3
/
ATOMIC_SPECIES
Pm 145.00 Pm.upf
Ge 72.64 Ge.upf
Hg 200.59 Hg.upf
ATOMIC_POSITIONS crystal
Pm 0.250 0.250 0.250
Ge 0.500 0.500 0.500
Pm 0.750 0.750 0.750
Hg 0.000 0.000 0.000
CELL_PARAMETERS angstrom
5.277 0.000 0.000
2.638 4.570 0.000
2.638 1.523 4.308
```

=====

The computed energies, referenced to the most stable structure and given in meV per atom, are one 37; two 0; three 46.

=====

one.
Computed, not measured: an optimized crystal structure of Pm5HgGe2 at the GGA-PBE level of DFT. Values from VASP.

Geometry as Quantum ESPRESSO input:
```
&SYSTEM
  ibrav = 0, nat = 8, ntyp = 3
/
ATOMIC_SPECIES
Pm 145.00 Pm.upf
Hg 200.59 Hg.upf
Ge 72.64 Ge.upf
ATOMIC_POSITIONS crystal
Pm 0.223 0.223 0.944
Pm 0.721 0.721 0.944
Hg 0.221 0.221 0.441
Ge 0.722 0.222 0.444
Ge 0.222 0.722 0.444
Pm 0.222 0.722 0.944
Pm 0.722 0.222 0.944
Pm 0.724 0.724 0.447
CELL_PARAMETERS angstrom
-4.961 -4.376 2.307
4.083 -1.751 5.417
-1.299 6.278 -1.521
```

=====

two.
Computed, not measured: an optimized crystal structure of Pm5HgGe2 at the GGA-PBE level of DFT. Values from VASP.

Geometry as Quantum ESPRESSO input:
```
&SYSTEM
  ibrav = 0, nat = 16, ntyp = 3
/
ATOMIC_SPECIES
Pm 145.00 Pm.upf
Hg 200.59 Hg.upf
Ge 72.64 Ge.upf
ATOMIC_POSITIONS crystal
Pm 0.190 0.027 0.717
Pm 0.527 0.690 0.717
Hg 0.750 0.750 0.500
Pm 0.000 0.000 0.000
Ge 0.132 0.368 0.000
Pm 0.473 0.310 0.283
Pm 0.500 0.500 0.000
Ge 0.368 0.868 0.000
Pm 0.310 0.810 0.283
Pm 0.690 0.190 0.717
Pm 0.973 0.473 0.283
Ge 0.868 0.632 0.000
Ge 0.632 0.132 0.000
Hg 0.250 0.250 0.500
Pm 0.027 0.527 0.717
Pm 0.810 0.973 0.283
CELL_PARAMETERS angstrom
-1.901 3.498 6.803
-7.012 2.006 -2.990
1.632 -9.006 0.520
```

=====

The computed energies, referenced to the most stable structure and given in meV per atom, are one 182; two 0.

=====

one.
Computed, not measured: an optimized crystal structure of Pm6HgGe2 at the GGA-PBE level of DFT. Values from VASP.

Geometry as Quantum ESPRESSO input:
```
&SYSTEM
  ibrav = 0, nat = 18, ntyp = 3
/
ATOMIC_SPECIES
Pm 145.00 Pm.upf
Ge 72.64 Ge.upf
Hg 200.59 Hg.upf
ATOMIC_POSITIONS crystal
Pm 0.296 0.624 0.328
Ge 0.349 0.000 0.349
Pm 0.198 0.252 0.450
Pm 0.095 0.272 0.823
Pm 0.704 0.032 0.328
Pm 0.704 0.376 0.672
Ge 0.651 0.000 0.651
Hg 0.000 0.500 0.500
Pm 0.802 0.748 0.550
Ge 0.500 0.379 0.879
Pm 0.905 0.728 0.177
Pm 0.198 0.748 0.946
Ge 0.500 0.621 0.121
Pm 0.296 0.968 0.672
Hg 0.000 0.000 0.000
Pm 0.551 0.728 0.823
Pm 0.802 0.252 0.054
Pm 0.449 0.272 0.177
CELL_PARAMETERS angstrom
-4.511 -2.642 -7.070
-2.641 -4.250 7.230
-1.329 8.572 1.440
```

=====

two.
Computed, not measured: an optimized crystal structure of Pm6HgGe2 at the GGA-PBE level of DFT. Values from VASP.

Geometry as Quantum ESPRESSO input:
```
&SYSTEM
  ibrav = 0, nat = 9, ntyp = 3
/
ATOMIC_SPECIES
Pm 145.00 Pm.upf
Hg 200.59 Hg.upf
Ge 72.64 Ge.upf
ATOMIC_POSITIONS crystal
Pm 0.695 0.730 0.880
Hg 0.000 0.500 0.500
Pm 0.022 0.135 0.821
Pm 0.615 0.219 0.551
Ge 0.712 0.396 0.179
Pm 0.978 0.865 0.179
Pm 0.305 0.270 0.120
Pm 0.385 0.781 0.449
Ge 0.288 0.604 0.821
CELL_PARAMETERS angstrom
-1.487 -5.027 -2.454
1.950 -0.907 -6.149
5.762 -5.751 1.463
```

=====

The computed energies, referenced to the most stable structure and given in meV per atom, are one 0; two 119.

=====

one.
Computed, not measured: an optimized crystal structure of Pu2HgGe at the GGA-PBE level of DFT. Values from VASP.

Geometry as Quantum ESPRESSO input:
```
&SYSTEM
  ibrav = 0, nat = 4, ntyp = 3
/
ATOMIC_SPECIES
Hg 200.59 Hg.upf
Pu 244.00 Pu.upf
Ge 72.64 Ge.upf
ATOMIC_POSITIONS crystal
Hg 0.500 0.500 0.500
Pu 0.000 0.000 0.219
Ge 0.500 0.500 0.000
Pu 0.000 0.000 0.781
CELL_PARAMETERS angstrom
3.600 0.000 0.000
0.000 3.600 0.000
0.000 0.000 7.567
```

=====

two.
Computed, not measured: an optimized crystal structure of Pu2HgGe at the GGA-PBE level of DFT. Values from VASP.

Geometry as Quantum ESPRESSO input:
```
&SYSTEM
  ibrav = 0, nat = 4, ntyp = 3
/
ATOMIC_SPECIES
Pu 244.00 Pu.upf
Ge 72.64 Ge.upf
Hg 200.59 Hg.upf
ATOMIC_POSITIONS crystal
Pu 0.750 0.750 0.750
Ge 0.500 0.500 0.500
Hg 0.000 0.000 0.000
Pu 0.250 0.250 0.250
CELL_PARAMETERS angstrom
-2.675 4.061 -1.819
-3.062 -0.560 -4.156
-5.162 0.160 0.538
```

=====

The computed energies, referenced to the most stable structure and given in meV per atom, are one 0; two 40.

=====

one.
Computed, not measured: an optimized crystal structure of Pu2HgGe at the GGA-PBE level of DFT. Values from VASP.

Geometry as Quantum ESPRESSO input:
```
&SYSTEM
  ibrav = 0, nat = 4, ntyp = 3
/
ATOMIC_SPECIES
Pu 244.00 Pu.upf
Hg 200.59 Hg.upf
Ge 72.64 Ge.upf
ATOMIC_POSITIONS crystal
Pu 0.258 0.258 0.225
Hg 0.500 0.500 0.500
Ge 0.000 0.000 0.000
Pu 0.742 0.742 0.775
CELL_PARAMETERS angstrom
3.514 0.000 0.000
1.757 3.043 0.000
1.757 1.014 9.607
```

=====

two.
Computed, not measured: an optimized crystal structure of Pu2HgGe at the GGA-PBE level of DFT. Values from VASP.

Geometry as Quantum ESPRESSO input:
```
&SYSTEM
  ibrav = 0, nat = 4, ntyp = 3
/
ATOMIC_SPECIES
Pu 244.00 Pu.upf
Hg 200.59 Hg.upf
Ge 72.64 Ge.upf
ATOMIC_POSITIONS crystal
Pu 0.000 0.000 0.500
Hg 0.500 0.000 0.000
Ge 0.500 0.500 0.500
Pu 0.000 0.500 0.000
CELL_PARAMETERS angstrom
4.296 0.000 0.000
0.000 4.722 0.000
0.000 0.000 4.722
```

=====

The computed energies, referenced to the most stable structure and given in meV per atom, are one 158; two 0.

=====

one.
Computed, not measured: an optimized crystal structure of Pu3HgGe at the GGA-PBE level of DFT. Values from VASP.

Geometry as Quantum ESPRESSO input:
```
&SYSTEM
  ibrav = 0, nat = 20, ntyp = 3
/
ATOMIC_SPECIES
Pu 244.00 Pu.upf
Hg 200.59 Hg.upf
Ge 72.64 Ge.upf
ATOMIC_POSITIONS crystal
Pu 0.500 0.500 0.229
Hg 0.694 0.896 0.000
Pu 0.000 0.000 0.745
Pu 0.407 0.841 0.275
Ge 0.273 0.120 0.500
Pu 0.593 0.159 0.275
Pu 0.500 0.500 0.771
Ge 0.191 0.665 0.000
Pu 0.407 0.841 0.725
Ge 0.727 0.880 0.500
Hg 0.821 0.357 0.500
Pu 0.000 0.000 0.255
Pu 0.132 0.364 0.770
Ge 0.809 0.335 0.000
Pu 0.868 0.636 0.770
Pu 0.868 0.636 0.230
Pu 0.132 0.364 0.230
Pu 0.593 0.159 0.725
Hg 0.306 0.104 0.000
Hg 0.179 0.643 0.500
CELL_PARAMETERS angstrom
7.937 0.408 0.000
0.448 8.844 0.000
0.000 0.000 7.293
```

=====

two.
Computed, not measured: an optimized crystal structure of Pu3HgGe at the GGA-PBE level of DFT. Values from VASP.

Geometry as Quantum ESPRESSO input:
```
&SYSTEM
  ibrav = 0, nat = 15, ntyp = 3
/
ATOMIC_SPECIES
Hg 200.59 Hg.upf
Ge 72.64 Ge.upf
Pu 244.00 Pu.upf
ATOMIC_POSITIONS crystal
Hg 0.500 0.000 0.500
Ge 0.500 0.000 0.000
Hg 0.500 0.500 0.000
Pu 0.773 0.227 0.773
Ge 0.000 0.000 0.500
Pu 0.773 0.227 0.227
Pu 0.773 0.773 0.227
Pu 0.227 0.227 0.227
Ge 0.000 0.500 0.000
Pu 0.227 0.773 0.773
Pu 0.227 0.773 0.227
Pu 0.500 0.500 0.500
Pu 0.227 0.227 0.773
Hg 0.000 0.500 0.500
Pu 0.773 0.773 0.773
CELL_PARAMETERS angstrom
7.247 0.000 0.000
0.000 7.247 0.000
0.000 0.000 7.247
```

=====

The computed energies, referenced to the most stable structure and given in meV per atom, are one 37; two 0.

=====

one.
Computed, not measured: an optimized crystal structure of PuSnHgGe at the GGA-PBE level of DFT. Values from VASP.

Geometry as Quantum ESPRESSO input:
```
&SYSTEM
  ibrav = 0, nat = 4, ntyp = 4
/
ATOMIC_SPECIES
Sn 118.71 Sn.upf
Pu 244.00 Pu.upf
Ge 72.64 Ge.upf
Hg 200.59 Hg.upf
ATOMIC_POSITIONS crystal
Sn 0.000 0.500 0.500
Pu 0.500 0.500 0.000
Ge 0.000 0.000 0.000
Hg 0.500 0.000 0.500
CELL_PARAMETERS angstrom
4.330 0.000 0.000
0.000 4.421 0.000
0.000 0.000 4.845
```

=====

two.
Computed, not measured: an optimized crystal structure of PuSnHgGe at the GGA-PBE level of DFT. Values from VASP.

Geometry as Quantum ESPRESSO input:
```
&SYSTEM
  ibrav = 0, nat = 4, ntyp = 4
/
ATOMIC_SPECIES
Sn 118.71 Sn.upf
Ge 72.64 Ge.upf
Hg 200.59 Hg.upf
Pu 244.00 Pu.upf
ATOMIC_POSITIONS crystal
Sn 0.750 0.750 0.750
Ge 0.500 0.500 0.500
Hg 0.000 0.000 0.000
Pu 0.250 0.250 0.250
CELL_PARAMETERS angstrom
5.158 0.000 0.000
2.579 4.467 0.000
2.579 1.489 4.212
```

=====

The computed energies, referenced to the most stable structure and given in meV per atom, are one 0; two 164.

=====

one.
Computed, not measured: an optimized crystal structure of Rb2HgGe2 at the GGA-PBE level of DFT. Values from VASP.

Geometry as Quantum ESPRESSO input:
```
&SYSTEM
  ibrav = 0, nat = 5, ntyp = 3
/
ATOMIC_SPECIES
Hg 200.59 Hg.upf
Rb 85.47 Rb.upf
Ge 72.64 Ge.upf
ATOMIC_POSITIONS crystal
Hg 0.000 0.000 0.000
Rb 0.615 0.615 0.769
Rb 0.385 0.385 0.231
Ge 0.750 0.250 0.500
Ge 0.250 0.750 0.500
CELL_PARAMETERS angstrom
-1.576 3.173 1.505
-3.260 -0.709 -1.921
-6.397 -5.047 8.862
```

=====

two.
Computed, not measured: an optimized crystal structure of Rb2HgGe2 at the GGA-PBE level of DFT. Values from VASP.

Geometry as Quantum ESPRESSO input:
```
&SYSTEM
  ibrav = 0, nat = 10, ntyp = 3
/
ATOMIC_SPECIES
Rb 85.47 Rb.upf
Hg 200.59 Hg.upf
Ge 72.64 Ge.upf
ATOMIC_POSITIONS crystal
Rb 0.800 0.300 0.500
Rb 0.700 0.800 0.500
Rb 0.200 0.700 0.500
Hg 0.000 0.000 0.000
Ge 0.412 0.912 0.000
Ge 0.912 0.588 0.000
Ge 0.588 0.088 0.000
Hg 0.500 0.500 0.000
Ge 0.088 0.412 0.000
Rb 0.300 0.200 0.500
CELL_PARAMETERS angstrom
9.064 0.000 0.000
0.000 9.064 0.000
0.000 0.000 5.037
```

=====

three.
Computed, not measured: an optimized crystal structure of Rb2HgGe2 at the GGA-PBE level of DFT. Values from VASP.

Geometry as Quantum ESPRESSO input:
```
&SYSTEM
  ibrav = 0, nat = 5, ntyp = 3
/
ATOMIC_SPECIES
Ge 72.64 Ge.upf
Hg 200.59 Hg.upf
Rb 85.47 Rb.upf
ATOMIC_POSITIONS crystal
Ge 0.389 0.389 0.223
Hg 0.000 0.000 0.000
Ge 0.611 0.611 0.777
Rb 0.250 0.750 0.500
Rb 0.750 0.250 0.500
CELL_PARAMETERS angstrom
-3.010 -3.149 -5.015
3.073 -5.640 1.698
-3.793 -5.566 1.372
```

=====

The computed energies, referenced to the most stable structure and given in meV per atom, are one 52; two 0; three 14.